DFT (GGA+U) results for a geometry-optimized Rb2TmMo3O12 structure.

Structure (POSCAR):
```
Rb2TmMo3O12
1.0
-4.628 5.990 -0.056
-3.999 1.851 6.155
1.681 6.219 3.974
Rb Tm Mo O
2 1 3 12
Direct
0.633 0.633 0.633 Rb
0.367 0.367 0.367 Rb
0.000 0.000 0.000 Tm
0.500 0.000 0.000 Mo
0.000 0.500 0.000 Mo
0.000 0.000 0.500 Mo
0.302 0.302 0.936 O
0.925 0.925 0.350 O
0.350 0.925 0.925 O
0.936 0.302 0.302 O
0.925 0.350 0.925 O
0.302 0.936 0.302 O
0.698 0.698 0.064 O
0.075 0.075 0.650 O
0.650 0.075 0.075 O
0.064 0.698 0.698 O
0.075 0.650 0.075 O
0.698 0.064 0.698 O
```

Calculated values
Space-group type ... R-3m, No. 166
N(E_F) ... 11.004 states/eV/f.u.
Uncorrected energy ... -6.698 eV per atom